1.
Computed, not measured: a relaxed structure of TlZnAg2 at the GGA-PBE level of DFT.

a b c (Å): 5.227 5.227 5.227
angles (deg): 131.64 131.64 70.80
Fractional positions:
Tl (0.000, 0.000, 0.000)
Zn (0.500, 0.500, 0.000)
Ag (0.250, 0.750, 0.500)
Ag (0.750, 0.250, 0.500)

Summary:
SG   I4/mmm, No. 139
DOS(E_F)   1.2 states/eV/cell
Uncorrected energy   -0.161 Ry per atom
Formation enthalpy at 0 K   0.143 eV per atom



2.
Computed, not measured: a relaxed structure of CeThRh6 at the GGA-PBE level of DFT.

a b c (Å): 4.101 4.101 8.192
angles (deg): 90.00 90.00 90.00
Fractional positions:
Ce (0.000, 0.000, 0.000)
Th (0.000, 0.000, 0.500)
Rh (0.000, 0.500, 0.244)
Rh (0.000, 0.500, 0.756)
Rh (0.500, 0.000, 0.244)
Rh (0.500, 0.000, 0.756)
Rh (0.500, 0.500, 0.000)
Rh (0.500, 0.500, 0.500)

Summary:
SG   P4/mmm, No. 123
DOS(E_F)   9.2 states/eV/cell
Uncorrected energy   -0.577 Ry per atom
Formation enthalpy at 0 K   -0.670 eV per atom



3.
Computed, not measured: a relaxed structure of Ca3AgRh at the GGA-PBE level of DFT.

a b c (Å): 9.473 8.695 5.961
angles (deg): 78.09 63.91 38.01
Fractional positions:
Ca (0.195, 0.195, 0.805)
Ca (0.207, 0.575, 0.425)
Ca (0.425, 0.793, 0.207)
Ca (0.575, 0.207, 0.793)
Ca (0.793, 0.425, 0.575)
Ca (0.805, 0.805, 0.195)
Ag (0.208, 0.792, 0.792)
Ag (0.792, 0.208, 0.208)
Rh (0.250, 0.250, 0.250)
Rh (0.750, 0.750, 0.750)

Summary:
Energy above the most stable polymorph in this dataset   0 meV per atom
SG   Fmmm, No. 69
DOS(E_F)   4.9 states/eV/cell
Uncorrected energy   -0.263 Ry per atom
Formation enthalpy at 0 K   -0.337 eV per atom



4.
Computed, not measured: a relaxed structure of Tm2TcPb at the GGA-PBE level of DFT.

a b c (Å): 10.609 10.609 10.609
angles (deg): 18.70 18.70 18.70
Fractional positions:
Tm (0.104, 0.104, 0.104)
Tm (0.896, 0.896, 0.896)
Tc (0.500, 0.500, 0.500)
Pb (0.000, 0.000, 0.000)

Summary:
Energy above the most stable polymorph in this dataset   377 meV per atom
SG   R-3m, No. 166
DOS(E_F)   4.3 states/eV/cell
Uncorrected energy   -0.415 Ry per atom
Formation enthalpy at 0 K   0.113 eV per atom



5.
Computed, not measured: a relaxed structure of Rb3BaRh at the GGA-PBE level of DFT.

a b c (Å): 6.591 6.591 6.591
angles (deg): 90.00 90.00 90.00
Fractional positions:
Rb (0.000, 0.000, 0.500)
Rb (0.000, 0.500, 0.000)
Rb (0.500, 0.000, 0.000)
Ba (0.500, 0.500, 0.500)
Rh (0.000, 0.000, 0.000)

Summary:
SG   Pm-3m, No. 221
DOS(E_F)   7.3 states/eV/cell
Uncorrected energy   -0.134 Ry per atom
Formation enthalpy at 0 K   0.613 eV per atom



6.
Computed, not measured: a relaxed structure of MgAl2Tl at the GGA-PBE level of DFT.

a b c (Å): 4.941 4.941 5.731
angles (deg): 98.83 98.83 38.49
Fractional positions:
Mg (0.000, 0.000, 0.000)
Al (0.486, 0.486, 0.442)
Al (0.747, 0.747, 0.254)
Tl (0.243, 0.243, 0.729)

Summary:
SG   Cm, No. 8
DOS(E_F)   1.4 states/eV/cell
Uncorrected energy   -0.200 Ry per atom
Formation enthalpy at 0 K   0.138 eV per atom



7.
Computed, not measured: a relaxed structure of Y2CoTePt at the GGA-PBE level of DFT.

a b c (Å): 5.438 5.438 4.628
angles (deg): 90.00 90.00 90.00
Fractional positions:
Y (0.000, 0.500, 0.000)
Y (0.500, 0.000, 0.000)
Co (0.000, 0.000, 0.500)
Te (0.500, 0.500, 0.500)
Pt (0.000, 0.000, 0.000)

Summary:
SG   P4/mmm, No. 123
DOS(E_F)   7.1 states/eV/cell
Raw formation energy   -0.350 eV/atom
Uncorrected energy   -0.455 Ry per atom



8.
Computed, not measured: a relaxed structure of Dy2HoGe3Pt4 at the GGA-PBE level of DFT.

a b c (Å): 4.189 4.189 11.417
angles (deg): 90.00 90.00 90.00
Fractional positions:
Dy (0.000, 0.500, 0.221)
Dy (0.500, 0.000, 0.779)
Ho (0.000, 0.000, 0.500)
Ge (0.000, 0.500, 0.872)
Ge (0.500, 0.000, 0.128)
Ge (0.500, 0.500, 0.500)
Pt (0.000, 0.000, 0.000)
Pt (0.000, 0.500, 0.659)
Pt (0.500, 0.000, 0.341)
Pt (0.500, 0.500, 0.000)

Summary:
SG   P-4m2, No. 115
DOS(E_F)   7.8 states/eV/cell
Uncorrected energy   -0.450 Ry per atom
Formation enthalpy at 0 K   -0.944 eV per atom



9.
Computed, not measured: a relaxed structure of AlTeRh2 at the GGA-PBE level of DFT.

a b c (Å): 8.310 8.310 8.310
angles (deg): 21.46 21.46 21.46
Fractional positions:
Al (0.000, 0.000, 0.000)
Te (0.500, 0.500, 0.500)
Rh (0.257, 0.257, 0.257)
Rh (0.743, 0.743, 0.743)

Summary:
Energy above the most stable polymorph in this dataset   151 meV per atom
SG   R-3m, No. 166
DOS(E_F)   3.5 states/eV/cell
Raw formation energy   -0.283 eV/atom
Uncorrected energy   -0.417 Ry per atom



10.
Computed, not measured: a relaxed structure of PmPu4As5 at the GGA-PBE level of DFT.

a b c (Å): 7.184 7.184 10.178
angles (deg): 118.10 118.10 33.66
Fractional positions:
Pm (0.000, 0.000, 0.000)
Pu (0.201, 0.201, 0.799)
Pu (0.402, 0.402, 0.601)
Pu (0.598, 0.598, 0.399)
Pu (0.799, 0.799, 0.201)
As (0.000, 0.000, 0.500)
As (0.202, 0.202, 0.305)
As (0.395, 0.395, 0.102)
As (0.605, 0.605, 0.898)
As (0.798, 0.798, 0.695)

Summary:
SG   C2/m, No. 12
DOS(E_F)   45.0 states/eV/cell
Uncorrected energy   -0.707 Ry per atom
Formation enthalpy at 0 K   -1.089 eV per atom



11.
Computed, not measured: a relaxed structure of PaInPdPt at the GGA-PBE level of DFT.

a b c (Å): 4.858 4.858 4.858
angles (deg): 60.00 60.00 60.00
Fractional positions:
Pa (0.000, 0.000, 0.000)
In (0.500, 0.500, 0.500)
Pd (0.250, 0.250, 0.250)
Pt (0.750, 0.750, 0.750)

Summary:
SG   F-43m, No. 216
DOS(E_F)   5.2 states/eV/cell
Uncorrected energy   -0.481 Ry per atom
Formation enthalpy at 0 K   -0.680 eV per atom



12.
Computed, not measured: a relaxed structure of Al2HgGe at the GGA-PBE level of DFT.

a b c (Å): 6.527 6.527 6.527
angles (deg): 118.94 118.94 91.85
Fractional positions:
Al (0.096, 0.625, 0.971)
Al (0.375, 0.346, 0.471)
Al (0.654, 0.125, 0.029)
Al (0.875, 0.904, 0.529)
Hg (0.250, 0.750, 0.500)
Hg (0.500, 0.500, 0.000)
Ge (0.000, 0.000, 0.000)
Ge (0.750, 0.250, 0.500)

Summary:
SG   I-42d, No. 122
DOS(E_F)   2.6 states/eV/cell
Uncorrected energy   -0.205 Ry per atom
Formation enthalpy at 0 K   0.309 eV per atom